{"formula": "La2CdAgO5", "functional": "PBE", "state": "optimized geometry", "total_energy_ev_per_atom": -6.139, "spacegroup": "P4/mbm (127)", "magnetic_moment_mub_per_cell": 2.073, "lattice": [[-0.789, -3.779, 4.827], [-2.228, -4.995, -4.275], [6.515, -2.286, -0.724]], "species": ["La", "La", "La", "La", "Cd", "Cd", "Ag", "Ag", "O", "O", "O", "O", "O", "O", "O", "O", "O", "O"], "frac_coords": [[0.500, 0.676, 0.176], [0.500, 0.176, 0.324], [0.500, 0.824, 0.676], [0.500, 0.324, 0.824], [0.000, 0.000, 0.500], [0.000, 0.500, 0.000], [0.000, 0.500, 0.500], [0.000, 0.000, 0.000], [0.500, 0.500, 0.500], [0.500, 0.000, 0.000], [0.262, 0.141, 0.641], [0.262, 0.859, 0.359], [0.262, 0.359, 0.141], [0.262, 0.641, 0.859], [0.738, 0.141, 0.641], [0.738, 0.641, 0.859], [0.738, 0.859, 0.359], [0.738, 0.359, 0.141]]}